Li6TbSn6 | PBE | optimized geometry

Output
**Calculated volume**: 20.73 A^3/atom
**ΔH_f (0 K)**: -4.89 eV per formula unit
**Energy above the lowest structure with this stoichiometry**: 0 meV/atom
**N(E_F)**: 5.02 states/eV/cell

```
13
Lattice="-2.869 4.711 4.984 2.869 -4.711 4.984 2.869 4.711 -4.984" Properties=species:S:1:pos:R:3 pbc="T T T"
Li 1.435 2.355 -2.492
Li 1.435 -2.355 2.492
Li 0.000 2.348 0.000
Li -1.435 2.355 2.492
Li 1.435 2.355 2.492
Li 0.000 7.073 0.000
Tb 0.000 0.000 4.984
Sn 2.869 1.451 0.000
Sn 0.000 0.000 1.663
Sn 2.869 0.000 3.361
Sn 0.000 4.711 1.623
Sn 0.000 0.000 8.306
Sn 0.000 3.260 4.984
```

=====

Er3MgZn3 | PBE | optimized geometry

Output
**Calculated volume**: 23.50 A^3/atom
**ΔH_f (0 K)**: -1.35 eV per formula unit
**N(E_F)**: 5.52 states/eV/cell

```
7
Lattice="4.924 2.843 1.958 -4.924 2.843 1.958 0.000 -5.686 1.958" Properties=species:S:1:pos:R:3 pbc="T T T"
Er -2.040 -1.178 1.958
Er 2.040 -1.178 1.958
Er 0.000 2.356 1.958
Mg 0.000 0.000 4.822
Zn -2.378 -1.373 4.841
Zn 2.378 -1.373 4.841
Zn 0.000 2.746 4.841
```

=====

Ce3CuGe6Pd2 | PBE | optimized geometry

Output
**Calculated volume**: 20.56 A^3/atom
**ΔH_f (0 K)**: -4.97 eV per formula unit
**N(E_F)**: 13.98 states/eV/cell

```
12
Lattice="5.910 0.000 0.000 -2.955 5.118 0.000 0.000 0.000 8.156" Properties=species:S:1:pos:R:3 pbc="T T T"
Ce 0.000 0.000 0.000
Ce 0.000 3.412 5.116
Ce 2.955 1.706 3.041
Cu 0.000 0.000 4.078
Ge 0.000 1.877 2.354
Ge -1.329 4.180 2.354
Ge 1.626 0.939 5.803
Ge 1.329 4.180 2.354
Ge 4.284 0.939 5.803
Ge 2.955 3.241 5.803
Pd 0.000 3.412 0.214
Pd 2.955 1.706 7.943
```

=====

ScPbSe | PBE | optimized geometry

Output
**Calculated volume**: 25.49 A^3/atom
**Energy above the lowest structure with this stoichiometry**: 257 meV/atom
**N(E_F)**: 2.42 states/eV/cell

```
3
Lattice="4.611 0.000 0.000 -2.306 3.993 0.000 0.000 0.000 4.153" Properties=species:S:1:pos:R:3 pbc="T T T"
Sc 0.000 0.000 0.000
Pb 0.000 2.662 2.076
Se 2.306 1.331 0.000
```

=====

FeTe3W | PBE | optimized geometry

Output
**Calculated volume**: 22.89 A^3/atom
**Energy above the lowest structure with this stoichiometry**: 194 meV/atom
**N(E_F)**: 5.40 states/eV/cell

```
5
Lattice="4.855 0.000 0.000 0.000 4.855 0.000 0.000 0.000 4.855" Properties=species:S:1:pos:R:3 pbc="T T T"
Fe 0.000 0.000 0.000
Te 0.000 0.000 2.428
Te 0.000 2.428 0.000
Te 2.428 0.000 0.000
W 2.428 2.428 2.428
```

=====

NdHo4Tm6 | PBE | optimized geometry

Output
**Calculated volume**: 34.11 A^3/atom
**ΔH_f (0 K)**: 5.13 eV per formula unit
**Energy above the lowest structure with this stoichiometry**: 346 meV/atom
**N(E_F)**: 17.87 states/eV/cell

```
11
Lattice="-3.835 3.835 6.378 3.835 -3.835 6.378 3.835 3.835 -6.378" Properties=species:S:1:pos:R:3 pbc="T T T"
Nd 0.000 0.000 0.000
Ho 2.562 2.562 -0.954
Ho 1.273 -1.273 7.332
Ho 1.273 1.273 5.423
Ho -1.273 1.273 7.332
Tm 3.835 0.000 0.000
Tm 1.888 -1.888 4.016
Tm 1.946 1.946 2.361
Tm 0.000 3.835 0.000
Tm -1.888 1.888 4.016
Tm 1.888 1.888 8.739
```

=====

Pm8C3S4N | PBE | optimized geometry

Output
**Calculated volume**: 20.76 A^3/atom
**N(E_F)**: 3.19 states/eV/cell
**Electronic total energy**: -6.974 eV per atom

```
16
Lattice="3.827 2.210 6.545 -3.827 2.210 6.545 0.000 -4.419 6.545" Properties=species:S:1:pos:R:3 pbc="T T T"
Pm -1.915 -1.106 11.218
Pm 0.000 0.000 4.701
Pm 0.000 -2.212 8.417
Pm -1.915 1.106 8.417
Pm 1.915 -1.106 11.218
Pm 0.000 2.212 11.218
Pm 0.000 0.000 14.934
Pm 1.915 1.106 8.417
C -3.827 0.000 9.818
C -1.914 1.105 3.273
C 1.914 1.105 3.273
S 0.000 0.000 0.000
S -1.914 -1.105 6.545
S -1.914 1.105 13.090
S 0.000 2.210 6.545
N 0.000 0.000 9.818
```

=====

BaMnCdGa2 | PBE | optimized geometry

Output
**Calculated volume**: 24.08 A^3/atom
**ΔH_f (0 K)**: -0.82 eV per formula unit
**N(E_F)**: 1.81 states/eV/cell

```
5
Lattice="4.819 0.000 0.000 0.000 4.819 0.000 0.000 0.000 5.183" Properties=species:S:1:pos:R:3 pbc="T T T"
Ba 0.000 0.000 0.000
Mn 2.410 2.410 2.592
Cd 2.410 2.410 0.000
Ga 0.000 2.410 2.592
Ga 2.410 0.000 2.592
```

=====

CuReP3 | PBE | optimized geometry

Output
**Calculated volume**: 16.23 A^3/atom
**ΔH_f (0 K)**: 7.01 eV per formula unit
**Energy above the lowest structure with this stoichiometry**: 544 meV/atom
**N(E_F)**: 5.63 states/eV/cell

```
5
Lattice="4.330 0.000 0.000 0.000 4.330 0.000 0.000 0.000 4.330" Properties=species:S:1:pos:R:3 pbc="T T T"
Cu 0.000 0.000 0.000
Re 2.165 2.165 2.165
P 0.000 0.000 2.165
P 0.000 2.165 0.000
P 2.165 0.000 0.000
```

=====

MoRuPt2 | PBE | optimized geometry

Output
**Calculated volume**: 15.15 A^3/atom
**ΔH_f (0 K)**: -0.30 eV per formula unit
**Energy above the lowest structure with this stoichiometry**: 117 meV/atom
**N(E_F)**: 10.18 states/eV/cell

```
8
Lattice="9.276 0.000 0.000 0.000 2.774 0.000 -0.843 0.000 4.709" Properties=species:S:1:pos:R:3 pbc="T T T"
Mo 0.000 0.000 0.000
Mo 4.638 1.387 0.000
Ru -0.421 1.387 2.355
Ru 4.216 0.000 2.355
Pt 1.676 0.000 3.528
Pt 2.119 1.387 1.181
Pt 6.314 1.387 3.528
Pt 6.757 0.000 1.181
```

=====

Ba2PRu | PBE | optimized geometry

Output
**Calculated volume**: 28.90 A^3/atom
**ΔH_f (0 K)**: -1.32 eV per formula unit
**N(E_F)**: 5.10 states/eV/cell

```
8
Lattice="3.983 0.000 0.000 0.000 5.295 0.000 0.000 0.000 10.960" Properties=species:S:1:pos:R:3 pbc="T T T"
Ba 0.000 0.000 0.000
Ba 0.000 2.648 2.187
Ba 1.992 0.000 7.668
Ba 1.992 2.648 5.480
P 0.000 0.000 4.600
P 1.992 2.648 10.080
Ru 0.000 2.648 9.014
Ru 1.992 0.000 3.534
```

=====

Pm2Sm4Y3 | PBE | optimized geometry

Output
**Calculated volume**: 33.38 A^3/atom
**ΔH_f (0 K)**: 0.14 eV per formula unit
**Energy above the lowest structure with this stoichiometry**: 0 meV/atom
**N(E_F)**: 12.55 states/eV/cell

```
9
Lattice="7.657 -2.561 0.000 7.657 2.561 0.000 -2.538 0.000 7.662" Properties=species:S:1:pos:R:3 pbc="T T T"
Pm 0.005 0.000 2.550
Pm 12.770 0.000 5.111
Sm 2.558 0.000 0.001
Sm 2.563 0.000 5.106
Sm 10.212 0.000 2.556
Sm 10.217 0.000 7.660
Y 5.110 0.000 2.551
Y 7.657 0.000 0.000
Y 7.665 0.000 5.111
```

=====

Zn2InBr | PBE | optimized geometry

Output
**Calculated volume**: 28.19 A^3/atom
**Energy above the lowest structure with this stoichiometry**: 0 meV/atom
**N(E_F)**: 1.51 states/eV/cell

```
8
Lattice="7.964 0.000 0.000 0.000 4.901 0.000 -2.744 0.000 5.777" Properties=species:S:1:pos:R:3 pbc="T T T"
Zn 0.000 0.000 0.000
Zn -1.368 2.451 5.546
Zn 3.982 2.451 0.000
Zn 2.614 0.000 5.546
In 2.680 0.000 0.399
In 6.662 2.451 0.399
Br 1.778 0.000 3.075
Br 5.760 2.451 3.075
```

=====

NaFeAs2Ir | PBE | optimized geometry

Output
**Calculated volume**: 19.03 A^3/atom
**ΔH_f (0 K)**: -1.49 eV per formula unit
**N(E_F)**: 5.85 states/eV/cell

```
10
Lattice="3.956 0.000 0.000 0.000 3.956 0.000 0.000 0.000 12.161" Properties=species:S:1:pos:R:3 pbc="T T T"
Na 0.000 0.000 0.000
Na 1.978 1.978 6.081
Fe 0.000 1.978 3.040
Fe 1.978 0.000 9.121
As 0.000 0.000 4.403
As 0.000 0.000 7.758
As 1.978 1.978 1.678
As 1.978 1.978 10.483
Ir 0.000 1.978 9.121
Ir 1.978 0.000 3.040
```

=====

CrTeAuN2 | PBE | optimized geometry

Output
**Calculated volume**: 25.67 A^3/atom
**Energy above the lowest structure with this stoichiometry**: 1092 meV/atom
**N(E_F)**: 2.39 states/eV/cell

```
5
Lattice="3.945 0.000 0.000 0.000 3.945 0.000 0.000 0.000 8.247" Properties=species:S:1:pos:R:3 pbc="T T T"
Cr 0.000 0.000 0.000
Te 1.972 1.972 0.000
Au 1.972 1.972 4.123
N 0.000 1.972 4.123
N 1.972 0.000 4.123
```

=====

Nb3Pb | PBE | optimized geometry

Output
**Calculated volume**: 19.45 A^3/atom
**ΔH_f (0 K)**: 0.38 eV per formula unit
**N(E_F)**: 14.75 states/eV/cell

```
8
Lattice="5.379 0.000 0.000 0.000 5.379 0.000 0.000 0.000 5.379" Properties=species:S:1:pos:R:3 pbc="T T T"
Nb 0.000 1.345 2.689
Nb 0.000 4.034 2.689
Nb 1.345 2.689 0.000
Nb 2.689 0.000 1.345
Nb 2.689 0.000 4.034
Nb 4.034 2.689 0.000
Pb 0.000 0.000 0.000
Pb 2.689 2.689 2.689
```

=====

Pr7In2Pb2 | PBE | optimized geometry

Output
**Calculated volume**: 35.59 A^3/atom
**ΔH_f (0 K)**: -1.41 eV per formula unit
**N(E_F)**: 13.68 states/eV/cell

```
11
Lattice="4.166 -5.902 0.000 4.166 5.902 0.000 0.000 0.000 7.961" Properties=species:S:1:pos:R:3 pbc="T T T"
Pr 0.000 0.000 0.000
Pr 2.083 2.951 2.333
Pr 2.083 2.951 5.629
Pr 2.083 -2.951 2.333
Pr 2.083 -2.951 5.629
Pr 4.166 0.000 1.983
Pr 4.166 0.000 5.978
In 4.166 2.563 0.000
In 4.166 -2.563 0.000
Pb 1.517 0.000 3.981
Pb 6.816 0.000 3.981
```

=====

Co2CBr | PBE | optimized geometry

Output
**Calculated volume**: 13.97 A^3/atom
**Energy above the lowest structure with this stoichiometry**: 0 meV/atom
**N(E_F)**: 8.33 states/eV/cell

```
16
Lattice="4.737 0.000 0.000 0.000 4.737 0.000 0.000 0.000 9.962" Properties=species:S:1:pos:R:3 pbc="T T T"
Co 0.686 1.184 1.245
Co 1.184 3.054 3.736
Co 1.184 4.051 8.717
Co 1.682 1.184 6.226
Co 3.054 3.552 6.226
Co 3.552 0.686 8.717
Co 3.552 1.682 3.736
Co 4.051 3.552 1.245
C 0.000 0.000 0.000
C 0.000 2.368 2.490
C 2.368 0.000 7.471
C 2.368 2.368 4.981
Br 0.000 0.000 4.981
Br 0.000 2.368 7.471
Br 2.368 0.000 2.490
Br 2.368 2.368 0.000
```

=====

LiMg2Br | PBE | optimized geometry

Output
**Calculated volume**: 26.22 A^3/atom
**Energy above the lowest structure with this stoichiometry**: 152 meV/atom
**N(E_F)**: 1.17 states/eV/cell

```
4
Lattice="3.587 0.000 0.000 0.000 6.397 0.000 -0.028 0.000 4.572" Properties=species:S:1:pos:R:3 pbc="T T T"
Li 0.000 0.000 0.000
Mg 0.906 3.199 1.157
Mg 2.654 3.199 3.415
Br 1.780 0.000 2.286
```

=====

BaZrFe2 | PBE | optimized geometry

Output
**Calculated volume**: 20.67 A^3/atom
**ΔH_f (0 K)**: 3.72 eV per formula unit
**Energy above the lowest structure with this stoichiometry**: 642 meV/atom
**N(E_F)**: 12.21 states/eV/cell

```
8
Lattice="4.153 0.000 0.000 0.000 4.153 0.000 0.000 0.000 9.588" Properties=species:S:1:pos:R:3 pbc="T T T"
Ba 0.000 0.000 0.000
Ba 2.076 2.076 4.794
Zr 0.000 2.076 2.397
Zr 2.076 0.000 7.191
Fe 0.000 0.000 4.794
Fe 0.000 2.076 7.191
Fe 2.076 0.000 2.397
Fe 2.076 2.076 0.000
```

=====

Ga2SnB | PBE | optimized geometry

Output
**Calculated volume**: 18.47 A^3/atom
**ΔH_f (0 K)**: 1.04 eV per formula unit
**Energy above the lowest structure with this stoichiometry**: 3 meV/atom
**N(E_F)**: 2.67 states/eV/cell

```
8
Lattice="5.361 0.000 0.000 2.462 4.767 0.000 1.166 0.414 5.782" Properties=species:S:1:pos:R:3 pbc="T T T"
Ga 0.000 0.000 0.000
Ga 2.955 2.524 5.385
Ga 3.356 1.642 2.594
Ga 5.130 4.219 0.473
Sn 3.221 4.770 2.899
Sn 5.971 3.132 3.237
B 3.632 1.401 0.423
B 6.141 2.635 5.574
```

=====

SrAlTc2 | PBE | optimized geometry

Output
**Calculated volume**: 23.41 A^3/atom
**ΔH_f (0 K)**: 0.10 eV per formula unit
**N(E_F)**: 10.01 states/eV/cell

```
12
Lattice="4.341 0.000 0.000 -2.171 3.759 0.000 0.000 0.000 17.216" Properties=species:S:1:pos:R:3 pbc="T T T"
Sr 0.000 0.000 0.000
Sr 0.000 2.506 11.477
Sr 2.171 1.253 5.739
Al 0.000 0.000 3.308
Al 0.000 2.506 14.785
Al 2.171 1.253 9.047
Tc 0.000 0.000 8.452
Tc 0.000 0.000 13.874
Tc 0.000 2.506 2.713
Tc 0.000 2.506 8.135
Tc 2.171 1.253 2.397
Tc 2.171 1.253 14.191
```

=====

LiEr2TmS4 | PBE | optimized geometry

Output
**Calculated volume**: 19.95 A^3/atom
**N(E_F)**: 2.41 states/eV/cell
**Electronic total energy**: -5.924 eV per atom

```
8
Lattice="6.643 0.000 0.000 0.000 3.832 0.000 -2.203 0.000 6.270" Properties=species:S:1:pos:R:3 pbc="T T T"
Li 0.000 0.000 0.000
Er -1.101 1.916 3.135
Er 2.220 0.000 3.135
Tm 3.322 1.916 0.000
S 1.095 1.916 1.533
S -0.023 0.000 4.737
S 4.463 0.000 1.533
S 3.346 1.916 4.737
```

=====

Tc3N | PBE | optimized geometry

Output
**Calculated volume**: 12.79 A^3/atom
**Energy above the lowest structure with this stoichiometry**: 258 meV/atom
**N(E_F)**: 2.83 states/eV/cell

```
4
Lattice="2.775 0.000 0.000 0.000 2.828 0.000 0.000 0.000 6.523" Properties=species:S:1:pos:R:3 pbc="T T T"
Tc 0.000 0.000 0.000
Tc 0.000 1.414 2.483
Tc 1.387 1.414 4.818
N 1.387 0.000 1.713
```

=====

BaLa2Si | PBE | optimized geometry

Output
**Calculated volume**: 35.55 A^3/atom
**N(E_F)**: 10.63 states/eV/cell
**Electronic total energy**: -4.476 eV per atom

```
8
Lattice="4.080 0.000 0.000 0.000 5.834 0.000 0.000 0.000 11.950" Properties=species:S:1:pos:R:3 pbc="T T T"
Ba 0.000 0.000 0.000
Ba 2.040 2.917 5.975
La 0.000 2.917 2.280
La 0.000 2.917 9.670
La 2.040 0.000 3.695
La 2.040 0.000 8.255
Si 0.000 0.000 5.975
Si 2.040 2.917 0.000
```

=====

Nd8SmEr6 | PBE | optimized geometry

Output
**Calculated volume**: 33.73 A^3/atom
**ΔH_f (0 K)**: 2.41 eV per formula unit
**Energy above the lowest structure with this stoichiometry**: 0 meV/atom
**N(E_F)**: 22.35 states/eV/cell

```
15
Lattice="4.636 2.677 6.794 -4.636 2.677 6.794 0.000 -5.353 6.794" Properties=species:S:1:pos:R:3 pbc="T T T"
Nd 0.000 0.000 1.500
Nd -0.483 -1.965 6.972
Nd -1.460 1.401 6.972
Nd -1.943 -0.564 13.411
Nd 1.943 0.564 6.972
Nd 1.460 -1.401 13.411
Nd 0.483 1.965 13.411
Nd 0.000 0.000 18.883
Sm 0.000 0.000 10.191
Er -2.581 -2.296 9.641
Er -3.279 1.088 10.741
Er 0.697 -3.383 10.741
Er -0.697 3.383 9.641
Er 3.279 -1.088 9.641
Er 2.581 2.296 10.741
```